VASP calculation (GGA-PBE) on U3Co2P2H4 after structural relaxation.

Results
V: 12.31 A^3/atom
crystal system: tetragonal
symmetry: No. 139
VASP energy: -6.977 eV/atom
theoretical density: 11.0 Mg/m³

```
U3Co2P2H4
1.0
-1.739 0.277 3.362
2.761 -2.056 1.598
4.288 8.760 -0.647
U H Co P
3 4 2 2
Direct
0.835 0.835 0.670
0.000 0.000 0.000
0.165 0.165 0.330
0.424 0.924 0.847
0.076 0.576 0.153
0.576 0.076 0.153
0.924 0.424 0.847
0.431 0.431 0.862
0.569 0.569 0.138
0.309 0.309 0.619
0.691 0.691 0.381
```